VASP calculation (GGA-PBEsol) on ZrCrCo after structural relaxation.

The space group is F-43m (No. 216) and the conventional cell measures 5.889, 5.889 and 5.889 Å, with angles of 90.00, 90.00 and 90.00 degrees. Symmetry generates all atoms from Zr at (0.000, 0.000, 0.000), Cr at (0.250, 0.250, 0.250) and Co at (0.250, 0.250, 0.750).

The value obtained for the energy above the most stable polymorph in this dataset is 26.46 kcal/mol of atoms. As for the crystal system: cubic. The calculation puts the volume at 204.2 Å³/cell.